Entry 1:
# AcTbTl (GGA-PBE, relaxed)
# - offset from the most stable computed form (eV/f.u.) = 1.53
# - size of the total moment (μB/atom) = 0.05
# - symmetry = F-43m (216)
# - density (g cm⁻³) = 8.3
data_AcTbTl
_chemical_formula_sum 'Ac1 Tb1 Tl1'
_cell_length_a 5.514
_cell_length_b 5.514
_cell_length_c 5.514
_cell_angle_alpha 60.00
_cell_angle_beta 60.00
_cell_angle_gamma 60.00
_space_group_name_H-M_alt 'P 1'
_space_group_IT_number 1
_space_group_name_Hall 'P 1'
loop_
_atom_site_label
_atom_site_type_symbol
_atom_site_fract_x
_atom_site_fract_y
_atom_site_fract_z
Ac1 Ac 0.000 0.000 0.000
Tb1 Tb 0.750 0.750 0.750
Tl1 Tl 0.250 0.250 0.250

---

Entry 2:
# AcTbTm (GGA-PBE, relaxed)
# - energy of formation (meV per atom) = 676.3
# - offset from the most stable computed form (eV/f.u.) = 0.00
# - size of the total moment (μB/atom) = 0.00
# - symmetry = F-43m (216)
# - density (g cm⁻³) = 7.4
data_AcTbTm
_chemical_formula_sum 'Ac1 Tb1 Tm1'
_cell_length_a 5.612
_cell_length_b 5.612
_cell_length_c 5.612
_cell_angle_alpha 60.00
_cell_angle_beta 60.00
_cell_angle_gamma 60.00
_space_group_name_H-M_alt 'P 1'
_space_group_IT_number 1
_space_group_name_Hall 'P 1'
loop_
_atom_site_label
_atom_site_type_symbol
_atom_site_fract_x
_atom_site_fract_y
_atom_site_fract_z
Ac1 Ac 0.000 0.000 0.000
Tb1 Tb 0.500 0.500 0.500
Tm1 Tm 0.250 0.250 0.250

---

Entry 3:
# AcTbY (GGA-PBE, relaxed)
# - energy of formation (meV per atom) = 706.4
# - offset from the most stable computed form (eV/f.u.) = 0.00
# - size of the total moment (μB/atom) = 0.00
# - symmetry = F-43m (216)
# - density (g cm⁻³) = 6.1
data_AcTbY
_chemical_formula_sum 'Ac1 Tb1 Y1'
_cell_length_a 5.675
_cell_length_b 5.675
_cell_length_c 5.675
_cell_angle_alpha 60.00
_cell_angle_beta 60.00
_cell_angle_gamma 60.00
_space_group_name_H-M_alt 'P 1'
_space_group_IT_number 1
_space_group_name_Hall 'P 1'
loop_
_atom_site_label
_atom_site_type_symbol
_atom_site_fract_x
_atom_site_fract_y
_atom_site_fract_z
Ac1 Ac 0.000 0.000 0.000
Tb1 Tb 0.500 0.500 0.500
Y1 Y 0.250 0.250 0.250

---

Entry 4:
# AcTbZn (GGA-PBE, relaxed)
# - energy of formation (meV per atom) = 649.5
# - offset from the most stable computed form (eV/f.u.) = 1.78
# - size of the total moment (μB/atom) = 0.00
# - symmetry = F-43m (216)
# - density (g cm⁻³) = 7.5
data_AcTbZn
_chemical_formula_sum 'Ac1 Tb1 Zn1'
_cell_length_a 5.208
_cell_length_b 5.208
_cell_length_c 5.208
_cell_angle_alpha 60.00
_cell_angle_beta 60.00
_cell_angle_gamma 60.00
_space_group_name_H-M_alt 'P 1'
_space_group_IT_number 1
_space_group_name_Hall 'P 1'
loop_
_atom_site_label
_atom_site_type_symbol
_atom_site_fract_x
_atom_site_fract_y
_atom_site_fract_z
Ac1 Ac 0.000 0.000 0.000
Tb1 Tb 0.750 0.750 0.750
Zn1 Zn 0.250 0.250 0.250

---

Entry 5:
# AcTbZr (GGA-PBE, relaxed)
# - energy of formation (meV per atom) = 941.9
# - offset from the most stable computed form (eV/f.u.) = 0.00
# - size of the total moment (μB/atom) = 0.67
# - symmetry = F-43m (216)
# - density (g cm⁻³) = 7.2
data_AcTbZr
_chemical_formula_sum 'Ac1 Tb1 Zr1'
_cell_length_a 5.389
_cell_length_b 5.389
_cell_length_c 5.389
_cell_angle_alpha 60.00
_cell_angle_beta 60.00
_cell_angle_gamma 60.00
_space_group_name_H-M_alt 'P 1'
_space_group_IT_number 1
_space_group_name_Hall 'P 1'
loop_
_atom_site_label
_atom_site_type_symbol
_atom_site_fract_x
_atom_site_fract_y
_atom_site_fract_z
Ac1 Ac 0.000 0.000 0.000
Tb1 Tb 0.750 0.750 0.750
Zr1 Zr 0.500 0.500 0.500

---

Entry 6:
# Ac2Tc (GGA-PBE, relaxed)
# - energy of formation (meV per atom) = 935.3
# - size of the total moment (μB/atom) = 0.31
# - symmetry = Fd-3m (227)
# - density (g cm⁻³) = 4.0
data_Ac2Tc
_chemical_formula_sum 'Ac4 Tc2'
_cell_length_a 8.690
_cell_length_b 8.690
_cell_length_c 8.690
_cell_angle_alpha 60.00
_cell_angle_beta 60.00
_cell_angle_gamma 60.00
_space_group_name_H-M_alt 'P 1'
_space_group_IT_number 1
_space_group_name_Hall 'P 1'
loop_
_atom_site_label
_atom_site_type_symbol
_atom_site_fract_x
_atom_site_fract_y
_atom_site_fract_z
Ac1 Ac 0.000 0.000 0.000
Ac2 Ac 0.000 0.000 0.500
Ac3 Ac 0.000 0.500 0.000
Ac4 Ac 0.500 0.000 0.000
Tc1 Tc 0.125 0.125 0.125
Tc2 Tc 0.875 0.875 0.875

---

Entry 7:
# AcTc (GGA-PBE, relaxed)
# - energy of formation (meV per atom) = 938.1
# - offset from the most stable computed form (eV/f.u.) = 0.00
# - size of the total moment (μB/atom) = 0.02
# - symmetry = P-6m2 (187)
# - density (g cm⁻³) = 10.8
data_AcTc
_chemical_formula_sum 'Ac1 Tc1'
_cell_length_a 3.583
_cell_length_b 3.583
_cell_length_c 4.490
_cell_angle_alpha 90.00
_cell_angle_beta 90.00
_cell_angle_gamma 120.00
_space_group_name_H-M_alt 'P 1'
_space_group_IT_number 1
_space_group_name_Hall 'P 1'
loop_
_atom_site_label
_atom_site_type_symbol
_atom_site_fract_x
_atom_site_fract_y
_atom_site_fract_z
Ac1 Ac 0.000 0.000 0.000
Tc1 Tc 0.667 0.333 0.500

---

Entry 8:
# AcTc2 (GGA-PBE, relaxed)
# - energy of formation (meV per atom) = 3506.2
# - size of the total moment (μB/atom) = 1.66
# - symmetry = Fd-3m (227)
# - density (g cm⁻³) = 3.0
data_AcTc2
_chemical_formula_sum 'Ac2 Tc4'
_cell_length_a 8.703
_cell_length_b 8.703
_cell_length_c 8.703
_cell_angle_alpha 60.00
_cell_angle_beta 60.00
_cell_angle_gamma 60.00
_space_group_name_H-M_alt 'P 1'
_space_group_IT_number 1
_space_group_name_Hall 'P 1'
loop_
_atom_site_label
_atom_site_type_symbol
_atom_site_fract_x
_atom_site_fract_y
_atom_site_fract_z
Ac1 Ac 0.125 0.125 0.125
Ac2 Ac 0.875 0.875 0.875
Tc1 Tc 0.000 0.000 0.000
Tc2 Tc 0.000 0.000 0.500
Tc3 Tc 0.000 0.500 0.000
Tc4 Tc 0.500 0.000 0.000

---

Entry 9:
# AcTc (GGA-PBE, relaxed)
# - energy of formation (meV per atom) = 1567.5
# - offset from the most stable computed form (eV/f.u.) = 1.26
# - size of the total moment (μB/atom) = 0.03
# - symmetry = F-43m (216)
# - density (g cm⁻³) = 8.8
data_AcTc
_chemical_formula_sum 'Ac1 Tc1'
_cell_length_a 4.424
_cell_length_b 4.424
_cell_length_c 4.424
_cell_angle_alpha 60.00
_cell_angle_beta 60.00
_cell_angle_gamma 60.00
_space_group_name_H-M_alt 'P 1'
_space_group_IT_number 1
_space_group_name_Hall 'P 1'
loop_
_atom_site_label
_atom_site_type_symbol
_atom_site_fract_x
_atom_site_fract_y
_atom_site_fract_z
Ac1 Ac 0.000 0.000 0.000
Tc1 Tc 0.750 0.750 0.750

---

Entry 10:
# AcTc (GGA-PBE, relaxed)
# - energy of formation (meV per atom) = 1034.2
# - offset from the most stable computed form (eV/f.u.) = 0.19
# - size of the total moment (μB/atom) = 0.58
# - symmetry = Fm-3m (225)
# - density (g cm⁻³) = 10.0
data_AcTc
_chemical_formula_sum 'Ac1 Tc1'
_cell_length_a 4.238
_cell_length_b 4.238
_cell_length_c 4.238
_cell_angle_alpha 60.00
_cell_angle_beta 60.00
_cell_angle_gamma 60.00
_space_group_name_H-M_alt 'P 1'
_space_group_IT_number 1
_space_group_name_Hall 'P 1'
loop_
_atom_site_label
_atom_site_type_symbol
_atom_site_fract_x
_atom_site_fract_y
_atom_site_fract_z
Ac1 Ac 0.000 0.000 0.000
Tc1 Tc 0.500 0.500 0.500

---

Entry 11:
# AcTmTc (GGA-PBE, relaxed)
# - energy of formation (meV per atom) = 956.3
# - size of the total moment (μB/atom) = 0.01
# - symmetry = F-43m (216)
# - density (g cm⁻³) = 9.7
data_AcTmTc
_chemical_formula_sum 'Ac1 Tm1 Tc1'
_cell_length_a 4.921
_cell_length_b 4.921
_cell_length_c 4.921
_cell_angle_alpha 60.00
_cell_angle_beta 60.00
_cell_angle_gamma 60.00
_space_group_name_H-M_alt 'P 1'
_space_group_IT_number 1
_space_group_name_Hall 'P 1'
loop_
_atom_site_label
_atom_site_type_symbol
_atom_site_fract_x
_atom_site_fract_y
_atom_site_fract_z
Ac1 Ac 0.000 0.000 0.000
Tm1 Tm 0.250 0.250 0.250
Tc1 Tc 0.500 0.500 0.500

---

Entry 12:
# AcYTc (GGA-PBE, relaxed)
# - energy of formation (meV per atom) = 999.5
# - size of the total moment (μB/atom) = 0.01
# - symmetry = F-43m (216)
# - density (g cm⁻³) = 8.0
data_AcYTc
_chemical_formula_sum 'Ac1 Y1 Tc1'
_cell_length_a 4.956
_cell_length_b 4.956
_cell_length_c 4.956
_cell_angle_alpha 60.00
_cell_angle_beta 60.00
_cell_angle_gamma 60.00
_space_group_name_H-M_alt 'P 1'
_space_group_IT_number 1
_space_group_name_Hall 'P 1'
loop_
_atom_site_label
_atom_site_type_symbol
_atom_site_fract_x
_atom_site_fract_y
_atom_site_fract_z
Ac1 Ac 0.000 0.000 0.000
Y1 Y 0.250 0.250 0.250
Tc1 Tc 0.500 0.500 0.500